Record 1
Entry from Alexandria: a relaxed KTl3Pt3 crystal (PBE).

abc: 6.937 6.937 9.916
angles: 69.53 69.53 60.00
Fractional coordinates of all 14 atoms:
Pt: 0.063 0.762 0.551
Pt: 0.625 0.063 0.551
Pt: 0.375 0.937 0.449
Pt: 0.762 0.625 0.551
Pt: 0.238 0.375 0.449
Pt: 0.937 0.238 0.449
Tl: 0.283 0.746 0.753
Tl: 0.217 0.283 0.753
Tl: 0.717 0.254 0.247
Tl: 0.783 0.717 0.247
Tl: 0.254 0.783 0.247
Tl: 0.746 0.217 0.753
K: 0.299 0.299 0.102
K: 0.701 0.701 0.898

Calculated values
As for the energy above the lowest structure with this stoichiometry: 0.0000 eV per atom. The size of the total moment is 0.0 μB per cell. The calculation puts the uncorrected energy at -3.8495 eV/atom.



Record 2
Entry from Alexandria: a relaxed K2Tl5Pt4 crystal (PBE).

abc: 8.384 7.262 7.908
angles: 77.69 57.99 54.74
Fractional coordinates of all 11 atoms:
Pt: 0.834 0.433 0.898
Pt: 0.335 0.128 0.203
Pt: 0.665 0.872 0.797
Pt: 0.166 0.567 0.102
K: 0.756 0.151 0.338
K: 0.244 0.849 0.662
Tl: 0.000 0.500 0.500
Tl: 0.243 0.244 0.862
Tl: 0.757 0.756 0.138
Tl: 0.349 0.756 0.138
Tl: 0.651 0.244 0.862

Calculated values
The size of the total moment is 0.0 μB per cell. The calculation puts the uncorrected energy at -3.5734 eV/atom.



Record 3
Entry from Alexandria: a relaxed K3Tl5Pt2 crystal (PBE).

abc: 4.127 12.212 12.212
angles: 90.00 90.00 90.00
Fractional coordinates of all 20 atoms:
Pt: 0.000 0.617 0.883
Pt: 0.000 0.117 0.617
Pt: 0.000 0.383 0.117
Pt: 0.000 0.883 0.383
Tl: 0.500 0.000 0.500
Tl: 0.500 0.774 0.931
Tl: 0.500 0.931 0.226
Tl: 0.500 0.500 0.000
Tl: 0.500 0.431 0.274
Tl: 0.500 0.726 0.431
Tl: 0.500 0.226 0.069
Tl: 0.500 0.274 0.569
Tl: 0.500 0.069 0.774
Tl: 0.500 0.569 0.726
K: 0.000 0.824 0.676
K: 0.000 0.676 0.176
K: 0.000 0.324 0.824
K: 0.000 0.000 0.000
K: 0.000 0.176 0.324
K: 0.000 0.500 0.500

Calculated values
As for the energy above the lowest structure with this stoichiometry: 0.0000 eV per atom. The size of the total moment is 0.0 μB per cell. The calculation puts the uncorrected energy at -2.8745 eV/atom.



Record 4
Entry from Alexandria: a relaxed KTl2Pt crystal (PBE).

abc: 4.401 4.401 7.871
angles: 73.92 73.92 59.82
Fractional coordinates of all 4 atoms:
Pt: 0.250 0.250 0.250
Tl: 0.974 0.974 0.079
Tl: 0.526 0.526 0.421
K: 0.750 0.750 0.750

Calculated values
The size of the total moment is 0.0 μB per cell. The calculation puts the uncorrected energy at -3.1013 eV/atom.